Density functional theory data (PBE+U) for an optimized crystal structure of EuAgW2O8.

a = 7.6780 Å, b = 7.6780 Å, c = 7.3957 Å
α = 115.20°, β = 115.20°, γ = 95.04°
Closest atoms and distances in Å follow each position.
Fractional positions:
Eu 0.2118 0.7882 0.0000  6 O 2.39-2.42
Eu 0.7882 0.2118 0.0000  6 O 2.39-2.42
Ag 0.2092 0.2092 0.5240  2 O 2.26-2.33
Ag 0.7908 0.7908 0.4760  2 O 2.26-2.33
W 0.2742 0.2742 0.0130  3 O 1.83-1.85
W 0.3419 0.6581 0.5000  4 O 1.80-1.95
W 0.6581 0.3419 0.5000  4 O 1.80-1.95
W 0.7258 0.7258 0.9870  3 O 1.83-1.85
O 0.0447 0.0447 0.8307  1 W 1.85
O 0.1510 0.3925 0.2302  2 W 1.95-2.12
O 0.1941 0.7038 0.6405  1 W 1.80
O 0.1956 0.4404 0.8965  1 W 1.83
O 0.2962 0.8059 0.3595  1 W 1.80
O 0.3925 0.1510 0.2302  2 W 1.95-2.12
O 0.4404 0.1956 0.8965  1 W 1.83
O 0.4822 0.4822 0.6600  3 W 2.13-2.22, 1 Ag 2.33
O 0.5178 0.5178 0.3400  3 W 2.13-2.22, 1 Ag 2.33
O 0.5596 0.8044 0.1035  1 W 1.83
O 0.6075 0.8490 0.7698  2 W 1.95-2.12
O 0.7038 0.1941 0.6405  1 W 1.80
O 0.8044 0.5596 0.1035  1 W 1.83
O 0.8059 0.2962 0.3595  1 W 1.80
O 0.8490 0.6075 0.7698  2 W 1.95-2.12
O 0.9553 0.9553 0.1693  1 W 1.85

Properties
- calculated volume (Å³ per atom) = 14.0
- DFT total energy (eV/atom) = -7.545
- DOS(E_F) (states/eV/f.u.) = 18.1